(1)
## LaAgSe2 (PBE)

Data for crystalline LaAgSe2 at its relaxed geometry.

Geometry as CIF:
```
data_LaAgSe2
_chemical_formula_sum 'La1 Ag1 Se2'
_cell_length_a 8.338
_cell_length_b 8.338
_cell_length_c 8.338
_cell_angle_alpha 31.83
_cell_angle_beta 31.83
_cell_angle_gamma 31.83
_space_group_name_H-M_alt 'P 1'
_space_group_IT_number 1
_space_group_name_Hall 'P 1'
loop_
_atom_site_label
_atom_site_type_symbol
_atom_site_fract_x
_atom_site_fract_y
_atom_site_fract_z
La1 La 0.000 0.000 0.000
Ag1 Ag 0.500 0.500 0.500
Se1 Se 0.396 0.396 0.396
Se2 Se 0.604 0.604 0.604
```

Values from the calculation:
Uncorrected energy, eV for the cell shown: -19.669
Energy relative to the elements, uncorrected, eV per atom: -1.23
Calculated volume, Å³/f.u.: 143

(2)
## LaAgSe2 (PBE)

Data for crystalline LaAgSe2 at its relaxed geometry.

Geometry as CIF:
```
data_LaAgSe2
_chemical_formula_sum 'La1 Ag1 Se2'
_cell_length_a 4.417
_cell_length_b 4.417
_cell_length_c 6.704
_cell_angle_alpha 109.08
_cell_angle_beta 109.08
_cell_angle_gamma 60.06
_space_group_name_H-M_alt 'P 1'
_space_group_IT_number 1
_space_group_name_Hall 'P 1'
loop_
_atom_site_label
_atom_site_type_symbol
_atom_site_fract_x
_atom_site_fract_y
_atom_site_fract_z
La1 La 0.000 0.000 0.000
Ag1 Ag 0.500 0.500 0.500
Se1 Se 0.248 0.248 0.742
Se2 Se 0.752 0.752 0.258
```

Values from the calculation:
Uncorrected energy, eV for the cell shown: -19.744
Energy relative to the elements, uncorrected, eV per atom: -1.25
Calculated volume, Å³/f.u.: 105